Entry 1:
The following is a DFT calculation (PBE) of a relaxed TaCr2Hg crystal. Values from VASP.

Structure (Quantum ESPRESSO input):
```
&SYSTEM
  ibrav = 0, nat = 4, ntyp = 3
/
ATOMIC_SPECIES
Cr 52.00 Cr.upf
Hg 200.59 Hg.upf
Ta 180.95 Ta.upf
ATOMIC_POSITIONS angstrom
Cr 0.0000 0.0000 0.0000
Cr -2.2979 1.9218 -0.4001
Hg -1.6093 0.8756 2.0338
Ta -2.6042 -0.7956 -0.2795
CELL_PARAMETERS angstrom
-1.3031 3.5930 1.9132
-3.2928 0.2506 -2.7134
-1.9155 -1.8419 2.1544
```

Energy of formation (eV per atom): 0.446
SG: No. 123

---

Entry 2:
The following is a DFT calculation (PBE) of a relaxed BeNi2Rh crystal. Values from VASP.

Structure (Quantum ESPRESSO input):
```
&SYSTEM
  ibrav = 0, nat = 4, ntyp = 3
/
ATOMIC_SPECIES
Ni 58.69 Ni.upf
Rh 102.91 Rh.upf
Be 9.01 Be.upf
ATOMIC_POSITIONS angstrom
Ni 5.5441 -1.4712 -1.3834
Ni 3.0346 -0.8744 -0.9627
Rh 1.1121 -2.1428 0.1988
Be 3.9717 -2.9246 -0.5832
CELL_PARAMETERS angstrom
-0.6353 -3.5037 1.1797
0.9668 -0.9182 -2.2064
4.7524 -0.6455 0.6423
```

Energy of formation (eV per atom): -0.121
SG: No. 10

---

Entry 3:
The following is a DFT calculation (PBE) of a relaxed TeHI crystal. Values from VASP.

Structure (Quantum ESPRESSO input):
```
&SYSTEM
  ibrav = 0, nat = 6, ntyp = 3
/
ATOMIC_SPECIES
Te 127.60 Te.upf
H 1.01 H.upf
I 126.90 I.upf
ATOMIC_POSITIONS angstrom
Te -2.9330 -1.7831 1.2207
Te 4.4983 -4.7694 -2.4663
H 0.0679 -4.4286 -3.5932
H 1.4973 -2.1238 2.3477
I -0.7837 -3.7272 1.6576
I 2.3489 -2.8253 -2.9032
CELL_PARAMETERS angstrom
-7.7516 -2.0398 3.9651
1.8839 -3.8725 -5.1691
7.4329 -0.6402 -0.0416
```

SG: No. 2

---

no.,total magnetization (Bohr magnetons per cell),DFT total energy (eV/atom)
1,2.9,-7.405
2,1.2,-5.781
3,0.0,-2.618